1.
PrYEr2As4 GGA-PBE relaxed; SG = P2/m (10); ΔE_f = -1.5122 eV/atom; total DFT energy (no corrections) = -51.1 eV/cell
1.0
7.1882 0.0000 0.0000
0.0000 4.1539 0.0000
-2.3970 0.0000 6.7774
Pr Y Er As
1 1 2 4
Direct
0.0000 0.0000 0.0000 Pr
0.0000 0.5000 0.5000 Y
0.5000 0.0000 0.5000 Er
0.5000 0.5000 0.0000 Er
0.2566 0.0000 0.7474 As
0.2603 0.5000 0.2583 As
0.7397 0.5000 0.7417 As
0.7434 0.0000 0.2526 As

2.
Er2AsPt GGA-PBE relaxed; SG = R-3m (166); ΔE_f = -1.2326 eV/atom; total DFT energy (no corrections) = -24.7 eV/cell
1.0
2.0307 1.1724 6.6917
-2.0307 1.1724 6.6917
0.0000 -2.3449 6.6917
Er As Pt
2 1 1
Direct
0.2487 0.2487 0.2487 Er
0.7513 0.7513 0.7513 Er
0.0000 0.0000 0.0000 As
0.5000 0.5000 0.5000 Pt

3.
Er3As2PtRh9 GGA-PBE relaxed; SG = P-3m1 (164); ΔE_f = -0.3521 eV/atom; total DFT energy (no corrections) = -100.5 eV/cell
1.0
5.4887 0.0000 0.0000
-2.7444 4.7534 0.0000
0.0000 0.0000 11.3599
Er As Pt Rh
3 2 1 9
Direct
0.0000 0.0000 0.0000 Er
0.3333 0.6667 0.5703 Er
0.6667 0.3333 0.4297 Er
0.3333 0.6667 0.1612 As
0.6667 0.3333 0.8388 As
0.0000 0.0000 0.5000 Pt
0.0000 0.5000 0.0000 Rh
0.1634 0.3268 0.3170 Rh
0.1634 0.8366 0.3170 Rh
0.3268 0.1634 0.6830 Rh
0.5000 0.0000 0.0000 Rh
0.5000 0.5000 0.0000 Rh
0.6732 0.8366 0.3170 Rh
0.8366 0.1634 0.6830 Rh
0.8366 0.6732 0.6830 Rh

total DFT energy (no corrections) of number 2 (Er2AsPt)? -24.7 eV/cell

Among the records above, which one has the highest total DFT energy (no corrections)? Er2AsPt